Below is a relaxed SmErZn2 crystal, with properties calculated at the PBE level.

abc: 3.571 3.571 7.247
angles: 90.00 90.00 90.00
Sites, in units of the cell vectors:
Sm 0.000 0.000 0.000
Er 0.000 0.000 0.500
Zn 0.500 0.500 0.266
Zn 0.500 0.500 0.734

## Properties
* total moment: 0.000 Bohr magnetons per cell
* symmetry: P4/mmm
* offset from the most stable computed form: 0.5 kJ/mol of formula units
* energy of formation: -0.328 eV/atom

---

Below is a relaxed PmMnSi2Tc crystal, with properties calculated at the PBE level.

abc: 5.980 5.980 5.980
angles: 140.43 140.43 57.20
Sites, in units of the cell vectors:
Pm 0.000 0.000 0.000
Mn 0.250 0.750 0.500
Si 0.379 0.379 0.000
Si 0.621 0.621 0.000
Tc 0.750 0.250 0.500

## Properties
* total moment: 2.492 Bohr magnetons per cell
* symmetry: I-4m2
* uncorrected formation energy: -0.62 eV/atom